# 1
A geometry-optimized YGa2C2 structure, computed with PBE-GGA.

Results
As for the total magnetic moment: 0.00 Bohr magnetons per cell. Its volume is 138.0 Å³/cell. The final energy comes out at -53.01 eV per cell. For the distance to the lowest polymorph of the same formula, the calculation gives 24.1 kJ/mol of atoms.

a = 6.581 Å, b = 6.581 Å, c = 3.187 Å
α = 90.00°, β = 90.00°, γ = 90.00°
Sites, in units of the cell vectors:
Y1 0.000 0.000 0.000
Y2 0.500 0.500 0.000
C1 0.349 0.849 0.000
C2 0.849 0.651 0.000
C3 0.651 0.151 0.000
C4 0.151 0.349 0.000
Ga1 0.136 0.636 0.500
Ga2 0.636 0.864 0.500
Ga3 0.864 0.364 0.500
Ga4 0.364 0.136 0.500

---

# 2
A geometry-optimized YGa2C structure, computed with PBE-GGA.

Results
As for the total magnetic moment: 0.00 Bohr magnetons per cell. Its volume is 134.4 Å³/cell. The final energy comes out at -42.25 eV per cell.

a = 7.189 Å, b = 7.189 Å, c = 5.710 Å
α = 50.99°, β = 50.99°, γ = 90.00°
Sites, in units of the cell vectors:
Y1 0.000 0.000 0.000
Y2 0.750 0.250 0.500
C1 0.500 0.500 0.000
C2 0.250 0.750 0.500
Ga1 0.539 0.125 0.250
Ga2 0.211 0.625 0.250
Ga3 0.375 0.461 0.750
Ga4 0.875 0.789 0.750

---

# 3
A geometry-optimized Y12Ga6C structure, computed with PBE-GGA.

Results
As for the total magnetic moment: 0.00 Bohr magnetons per cell. Its volume is 501.8 Å³/cell. The final energy comes out at -112.53 eV per cell.

a = 7.964 Å, b = 7.964 Å, c = 7.964 Å
α = 93.75°, β = 93.75°, γ = 93.75°
Sites, in units of the cell vectors:
Y1 0.804 0.580 0.453
Y2 0.453 0.804 0.580
Y3 0.580 0.453 0.804
Y4 0.196 0.420 0.547
Y5 0.547 0.196 0.420
Y6 0.420 0.547 0.196
Y7 0.961 0.076 0.296
Y8 0.924 0.704 0.039
Y9 0.704 0.039 0.924
Y10 0.039 0.924 0.704
Y11 0.076 0.296 0.961
Y12 0.296 0.961 0.076
Ga1 0.645 0.856 0.259
Ga2 0.741 0.355 0.144
Ga3 0.144 0.741 0.355
Ga4 0.355 0.144 0.741
Ga5 0.259 0.645 0.856
Ga6 0.856 0.259 0.645
C1 0.000 0.000 0.000

---

Question: final energy of number 1 (YGa2C2)?
Answer: -53.01 eV per cell

---

Question: The highest volume belongs to which entry?
Answer: Y12Ga6C

---

Question: What is the formula in the second record?
Answer: YGa2C

---

Question: What is the formula in the third record?
Answer: Y12Ga6C